1.
# LiLaP

Crystalline LiLaP at its relaxed geometry (GGA-PBE, the Alexandria database).

Results
- Energy relative to the elements: -631 meV per atom
- Energy: -14.145 eV per formula unit
- M_tot: 0.00 μB/cell

Lattice parameters (Å, degrees): 4.0636 4.0636 8.0979 90.00 90.00 90.00
Last column: nearest neighbours and their distance in Å.
Space group I4mm (No. 107)
Inequivalent atoms, fractional coordinates:
Li 0.0000 0.0000 0.0000 x2  1 P 2.42
La 0.0000 0.0000 0.3434 x2  1 Li 2.78, 5 P 2.90-3.10
P 0.0000 0.0000 0.7011 x2  1 Li 2.42



2.
# LiLaP

Crystalline LiLaP at its relaxed geometry (GGA-PBE, the Alexandria database).

Results
- Energy relative to the elements: -899 meV per atom
- Energy: -14.947 eV per formula unit
- M_tot: 0.00 μB/cell

Lattice parameters (Å, degrees): 6.6493 6.6493 6.6493 90.00 90.00 90.00
Last column: nearest neighbours and their distance in Å.
Space group F-43m (No. 216)
Inequivalent atoms, fractional coordinates:
Li 0.0000 0.0000 0.0000 x4  4 P 2.88
La 0.0000 0.0000 0.5000 x4  4 P 2.88
P 0.2500 0.2500 0.2500 x4  4 La 2.88, 4 Li 2.88



3.
# LiLa2P

Crystalline LiLa2P at its relaxed geometry (GGA-PBE, the Alexandria database).

Results
- Energy relative to the elements: -670 meV per atom
- Energy: -19.858 eV per formula unit
- M_tot: 0.24 μB/cell

Lattice parameters (Å, degrees): 4.0892 4.0892 26.1717 90.00 90.00 120.00
Last column: nearest neighbours and their distance in Å.
Space group R3m (No. 160, hexagonal axes)
Inequivalent atoms, fractional coordinates:
Li 0.0000 0.0000 0.0000 x3  6 La 3.56-3.60
La 0.0000 0.0000 0.5631 x3  3 P 2.90
La 0.0000 0.0000 0.7684 x3  3 P 2.89
P 0.0000 0.0000 0.1656 x3  6 La 2.89-2.90